Density functional theory data (PBE) for a relaxed structure of CeAl4Ag4.

```
18
Lattice="-3.1231 2.5397 -2.3687 -2.5094 -7.1144 -4.3195 -5.9569 -1.6156 6.1217" Properties=species:S:1:pos:R:3 pbc="T T T"
Al -3.9402 -1.6362 3.4403
Al -7.2633 -5.9107 -1.3662
Al -4.5914 -0.2762 -3.4514
Al -10.1207 -3.3747 0.5165
Al -4.3264 -0.2794 0.7995
Al -3.7777 -3.1160 -2.9643
Al -7.8113 -3.0747 2.3981
Al -4.5264 -7.0936 -1.6383
Ag -5.5913 -6.2114 0.7122
Ag -6.4789 -0.9085 2.9635
Ag -2.8750 -2.5186 1.0901
Ag -8.6691 -5.6132 0.8069
Ag -6.3171 -2.3878 -3.4407
Ag -8.3954 -1.2629 0.5056
Ag -2.9202 -0.5772 -1.3733
Ag -5.1104 -5.2819 -3.5300
Ce 0.0000 0.0000 0.0000
Ce -5.7947 -3.0952 -0.2832
```

Computed properties:
Energy relative to the elements in meV/atom: -100
Theoretical density in g/cm3: 6.4
Space-group type: I4/m

***

Density functional theory data (PBE) for a relaxed structure of LiCu2Te2.

```
5
Lattice="3.8734 0.0000 0.0000 0.0000 3.8734 0.0000 1.9367 1.9367 7.3522" Properties=species:S:1:pos:R:3 pbc="T T T"
Te 1.9367 1.9367 1.8736
Te 3.8734 3.8734 5.4786
Li 0.0000 0.0000 0.0000
Cu 3.8734 1.9367 3.6761
Cu 1.9367 3.8734 3.6761
```

Computed properties:
Uncorrected formation energy in eV/atom: -0.263
Theoretical density in g/cm3: 5.9
Space-group type: I4/mmm

***

Density functional theory data (PBE) for a relaxed structure of Pm6SmHo3Er2.

```
12
Lattice="-6.1548 0.4305 -0.8904 2.6966 -5.6011 0.4655 -0.5078 1.8779 11.6690" Properties=species:S:1:pos:R:3 pbc="T T T"
Ho -4.9317 0.3630 5.1704
Ho -1.9830 -1.6463 5.6220
Ho 0.9656 -3.6556 6.0737
Pm -1.2440 0.1160 8.6376
Pm 0.4822 -1.8344 3.0455
Pm -2.4734 0.1796 2.5928
Pm -4.4482 -1.4583 8.1986
Pm -1.4927 -3.4723 8.6513
Pm -2.7220 -3.4087 2.6065
Sm 0.0000 0.0000 0.0000
Er -3.2034 -1.5806 -0.4383
Er -0.2548 -3.5899 0.0134
```

Computed properties:
Energy relative to the elements in meV/atom: 14
Theoretical density in g/cm3: 7.8
Space-group type: C2/m

***

Density functional theory data (PBE) for a relaxed structure of Pr4Ho3Tm.

```
8
Lattice="3.6240 0.0000 0.0000 0.0000 5.6097 -2.8295 -1.8120 -8.7252 17.5667" Properties=species:S:1:pos:R:3 pbc="T T T"
Pr 1.8120 3.1884 1.6780
Pr 0.0000 0.3771 3.0864
Pr 1.8120 -3.4927 11.6508
Pr 0.0000 -6.3040 13.0592
Ho 0.0000 -0.1510 6.6659
Ho 0.0000 2.8048 -1.4148
Ho 1.8120 -2.9646 8.0713
Tm 1.8120 0.0000 0.0000
```

Computed properties:
Energy relative to the elements in meV/atom: 33
Theoretical density in g/cm3: 7.6
Space-group type: C2/m